[1]
The following is a DFT calculation (GGA-PBE) of LiCrCo2Ag after structural relaxation.

Structure (CIF):
```
data_LiCrCo2Ag
_chemical_formula_sum 'Li1 Cr1 Co2 Ag1'
_cell_length_a 4.139
_cell_length_b 4.139
_cell_length_c 4.562
_cell_angle_alpha 90.00
_cell_angle_beta 90.00
_cell_angle_gamma 90.00
_symmetry_space_group_name_H-M 'P 4/m m m'
_symmetry_Int_Tables_number 123
_symmetry_space_group_name_Hall '-P 4 2'
loop_
_atom_site_label
_atom_site_type_symbol
_atom_site_fract_x
_atom_site_fract_y
_atom_site_fract_z
_atom_site_occupancy
Li1 Li 0.000 0.000 0.000 1
Cr1 Cr 0.000 0.000 0.500 1
Co1 Co 0.000 0.500 0.500 1
Ag1 Ag 0.500 0.500 0.000 1
```

Summary:
formation enthalpy at 0 K = 5.1 eV per formula unit
crystal system = tetragonal
spin magnetization = 1.89 Bohr magnetons per cell
D(E_F) = 3.84 states/eV/f.u.


[2]
The following is a DFT calculation (GGA-PBE) of CrCo2AgN after structural relaxation.

Structure (CIF):
```
data_CrCo2AgN
_chemical_formula_sum 'Cr1 Co2 Ag1 N1'
_cell_length_a 3.876
_cell_length_b 3.876
_cell_length_c 3.854
_cell_angle_alpha 90.00
_cell_angle_beta 90.00
_cell_angle_gamma 90.00
_symmetry_space_group_name_H-M 'P 4/m m m'
_symmetry_Int_Tables_number 123
_symmetry_space_group_name_Hall '-P 4 2'
loop_
_atom_site_label
_atom_site_type_symbol
_atom_site_fract_x
_atom_site_fract_y
_atom_site_fract_z
_atom_site_occupancy
Cr1 Cr 0.000 0.000 0.000 1
Co1 Co 0.000 0.500 0.500 1
Ag1 Ag 0.500 0.500 0.000 1
N1 N 0.000 0.000 0.500 1
```

Summary:
uncorrected formation energy = 59 meV/atom
crystal system = tetragonal
spin magnetization = 4.41 Bohr magnetons per cell
D(E_F) = 3.55 states/eV/f.u.


These records have E values of -4.69; -6.94 eV/atom, in the order they appear.